1.
! PBE HoAlPdPt, optimized geometry; values from VASP
! - density of states at the Fermi level (states/eV per atom) = 0.72
! - E_form (eV per atom) = -0.974
! - symmetry = F-43m (216)
! - DFT total energy (eV per atom) = -5.862
&SYSTEM
  ibrav = 0, nat = 4, ntyp = 4
/
ATOMIC_SPECIES
Ho 164.93 Ho.upf
Pt 195.08 Pt.upf
Pd 106.42 Pd.upf
Al 26.98 Al.upf
ATOMIC_POSITIONS crystal
Ho 0.5000 0.5000 0.5000
Pt 0.7500 0.7500 0.7500
Pd 0.2500 0.2500 0.2500
Al 0.0000 0.0000 0.0000
CELL_PARAMETERS angstrom
4.6652 0.0000 0.0000
2.3326 4.0402 0.0000
2.3326 1.3467 3.8092

***

2.
! PBE Li3Mo, optimized geometry; values from VASP
! - density of states at the Fermi level (states/eV per atom) = 1.06
! - E_form (eV per atom) = 0.392
! - symmetry = R-3m (166)
! - DFT total energy (eV per atom) = -3.751
&SYSTEM
  ibrav = 0, nat = 4, ntyp = 2
/
ATOMIC_SPECIES
Li 6.94 Li.upf
Mo 95.94 Mo.upf
ATOMIC_POSITIONS crystal
Li 0.0000 0.5000 0.5000
Li 0.0000 0.0000 0.0000
Li 0.5000 0.0000 0.5000
Mo 0.5000 0.5000 0.0000
CELL_PARAMETERS angstrom
-3.1787 -3.7937 2.6124
5.5543 -0.6653 0.1702
-2.0058 5.1996 -0.5117